Below is Mn2AsPt after structural relaxation, with properties calculated at the PBE level.

Summary:
Space-group type: P4mm
Energy relative to the lowest polymorph listed for this composition, meV/atom: 80.7
Final energy, eV per cell: -29.310
DOS(E_F), states/eV/f.u.: 1.33
Energy of formation, eV per atom: -0.070

Lattice parameters (Å, degrees): 3.364 3.364 5.388 90.00 90.00 90.00
Atoms (fractional coordinates):
Mn: 0.000 0.000 0.000
Mn: 0.500 0.500 0.280
As: 0.500 0.500 0.806
Pt: 0.000 0.000 0.492



Below is MnAuCl2 after structural relaxation, with properties calculated at the PBE level.

Summary:
Space-group type: Cmm2
Energy relative to the lowest polymorph listed for this composition, meV/atom: 114.4
Final energy, eV per cell: -17.422
DOS(E_F), states/eV/f.u.: 0.60

Lattice parameters (Å, degrees): 3.574 3.574 8.594 90.00 90.00 120.44
Atoms (fractional coordinates):
Mn: 0.000 0.000 0.000
Au: 0.500 0.500 0.786
Cl: 0.000 0.000 0.580
Cl: 0.500 0.500 0.183



Below is Li3GaCo after structural relaxation, with properties calculated at the PBE level.

Summary:
Space-group type: Pm-3m
Energy relative to the lowest polymorph listed for this composition, meV/atom: 0.0
Final energy, eV per cell: -13.009
DOS(E_F), states/eV/f.u.: 4.59
Energy of formation, eV per atom: 0.573

Lattice parameters (Å, degrees): 4.549 4.549 4.549 90.00 90.00 90.00
Atoms (fractional coordinates):
Li: 0.000 0.000 0.500
Li: 0.000 0.500 0.000
Li: 0.500 0.000 0.000
Ga: 0.500 0.500 0.500
Co: 0.000 0.000 0.000



Below is ScAsPt2 after structural relaxation, with properties calculated at the PBE level.

Summary:
Space-group type: P4/mmm
Final energy, eV per cell: -26.251
DOS(E_F), states/eV/f.u.: 1.42
Energy of formation, eV per atom: -0.797

Lattice parameters (Å, degrees): 3.512 3.512 5.587 90.00 90.00 90.00
Atoms (fractional coordinates):
Sc: 0.000 0.000 0.000
As: 0.000 0.000 0.500
Pt: 0.500 0.500 0.249
Pt: 0.500 0.500 0.751



Below is Pm2Sm3Y3 after structural relaxation, with properties calculated at the PBE level.

Summary:
Space-group type: Cmcm
Energy relative to the lowest polymorph listed for this composition, meV/atom: 95.9
Final energy, eV per cell: -84.287
DOS(E_F), states/eV/f.u.: 11.64
Energy of formation, eV per atom: 0.113

Lattice parameters (Å, degrees): 6.123 6.123 18.580 90.00 90.00 129.13
Atoms (fractional coordinates):
Pm: 0.152 0.848 0.540
Pm: 0.152 0.848 0.960
Pm: 0.848 0.152 0.040
Pm: 0.848 0.152 0.460
Sm: 0.239 0.761 0.156
Sm: 0.239 0.761 0.344
Sm: 0.385 0.615 0.750
Sm: 0.615 0.385 0.250
Sm: 0.761 0.239 0.656
Sm: 0.761 0.239 0.844
Y: 0.077 0.923 0.750
Y: 0.455 0.545 0.583
Y: 0.455 0.545 0.917
Y: 0.545 0.455 0.083
Y: 0.545 0.455 0.417
Y: 0.923 0.077 0.250



Below is Ti2TeW after structural relaxation, with properties calculated at the PBE level.

Summary:
Space-group type: I-42d
Final energy, eV per cell: -59.453
DOS(E_F), states/eV/f.u.: 4.86

Lattice parameters (Å, degrees): 9.791 9.791 9.791 156.02 156.02 34.17
Atoms (fractional coordinates):
Ti: 0.124 0.625 0.999
Ti: 0.375 0.374 0.499
Ti: 0.626 0.125 0.001
Ti: 0.875 0.876 0.501
Te: 0.000 0.000 0.000
Te: 0.750 0.250 0.500
W: 0.250 0.750 0.500
W: 0.500 0.500 0.000



Below is HfTlTe2 after structural relaxation, with properties calculated at the PBE level.

Summary:
Space-group type: P3m1
Final energy, eV per cell: -19.560
DOS(E_F), states/eV/f.u.: 2.41

Lattice parameters (Å, degrees): 4.391 4.391 9.018 90.00 90.00 120.00
Atoms (fractional coordinates):
Hf: 0.000 0.000 0.000
Tl: 0.667 0.333 0.513
Te: 0.000 0.000 0.298
Te: 0.333 0.667 0.858



Below is Co2CuHg after structural relaxation, with properties calculated at the PBE level.

Summary:
Space-group type: Pmmm
Final energy, eV per cell: -17.069
DOS(E_F), states/eV/f.u.: 4.94
Energy of formation, eV per atom: 0.385

Lattice parameters (Å, degrees): 2.755 3.635 5.572 90.00 90.00 90.00
Atoms (fractional coordinates):
Co: 0.000 0.000 0.205
Co: 0.000 0.000 0.795
Cu: 0.500 0.500 0.000
Hg: 0.500 0.500 0.500